First-principles (PBE) data for an optimized crystal structure of CaP6Pb, as listed in the Alexandria database.

```
data_CaP6Pb
_chemical_formula_sum 'Ca4 P24 Pb4'
_cell_length_a 10.558
_cell_length_b 10.558
_cell_length_c 10.558
_cell_angle_alpha 90.00
_cell_angle_beta 90.00
_cell_angle_gamma 90.00
_space_group_name_H-M_alt 'F m -3 m'
_space_group_IT_number 225
_space_group_name_Hall '-F 4 2 3'
loop_
_atom_site_label
_atom_site_fract_x
_atom_site_fract_y
_atom_site_fract_z
_atom_site_occupancy
Ca1 0.000 0.000 0.000 1
P1 0.000 0.000 0.248 1
Pb1 0.000 0.000 0.500 1
```

The total energy comes out at -3.172 eV per atom. The density of states at the Fermi level comes out at 1.176 states/eV per atom. For the formation energy, the calculation gives 1.60 eV/atom. As for the crystal system: cubic. Its volume is 36.78 Å³/atom.